# ZnAsOsSe2 (PBE, optimized geometry)
# Crystal system   tetragonal
# ΔE_f (raw)   139 kJ per mole of atoms
# Spin magnetization   0.14 μB per cell
# Space group   P4/mmm
data_ZnAsOsSe2
_chemical_formula_sum 'Zn1 As1 Os1 Se2'
_symmetry_space_group_name_H-M 'P 1'
_symmetry_Int_Tables_number 1
_symmetry_space_group_name_Hall 'P 1'
_cell_length_a 4.740
_cell_length_b 4.740
_cell_length_c 4.598
_cell_angle_alpha 90.00
_cell_angle_beta 90.00
_cell_angle_gamma 90.00
loop_
_atom_site_label
_atom_site_fract_x
_atom_site_fract_y
_atom_site_fract_z
_atom_site_occupancy
Os1 0.500 0.500 0.500 1
Se1 0.000 0.500 0.000 1
Zn1 0.000 0.000 0.000 1
As1 0.000 0.000 0.500 1
Se2 0.500 0.000 0.000 1